An optimized crystal structure of NpIrSe2. Source: Alexandria, functional PBE.

The value obtained for the density of states at the Fermi level is 21.9 states/eV/cell. The formation energy from raw total energies is 0.05 eV per atom. The value obtained for the total DFT energy (no corrections) is -7.141 eV per atom. The calculation puts the density at 9.8 g cm⁻³.

The space group is R-3m (No. 166, hexagonal axes) and the conventional cell measures 3.6657, 3.6657 and 25.5312 Å, with angles of 90.00, 90.00 and 120.00 degrees. The asymmetric unit holds Np at (0.0000, 0.0000, 0.0000), Ir at (0.0000, 0.0000, 0.5000) and Se at (0.0000, 0.0000, 0.1146).

=====

An optimized crystal structure of NpIrSe. Source: Alexandria, functional PBE.

The value obtained for the density of states at the Fermi level is 13.8 states/eV/cell. The formation energy from raw total energies is -0.33 eV per atom. The value obtained for the total DFT energy (no corrections) is -8.758 eV per atom. The calculation puts the density at 12.6 g cm⁻³.

The space group is Cmcm (No. 63) and the conventional cell measures 3.910, 18.329 and 3.751 Å, with angles of 90.00, 90.00 and 90.00 degrees. The asymmetric unit holds Np at (0.000, 0.045, 0.250), Ir at (0.000, 0.413, 0.250) and Se at (0.000, 0.173, 0.750).

=====

An optimized crystal structure of Np3IrSe6. Source: Alexandria, functional PBE.

The value obtained for the density of states at the Fermi level is 169.2 states/eV/cell. The formation energy from raw total energies is -0.79 eV per atom. The value obtained for the total DFT energy (no corrections) is -7.648 eV per atom. The calculation puts the density at 8.6 g cm⁻³.

The space group is R-3 (No. 148, hexagonal axes) and the conventional cell measures 11.3303, 11.3303 and 14.4051 Å, with angles of 90.00, 90.00 and 120.00 degrees. The asymmetric unit holds Np at (0.0548, 0.4483, 0.3711), Ir at (0.0000, 0.0000, 0.0000), Ir at (0.0000, 0.0000, 0.5000), Se at (0.0026, 0.1866, 0.8952) and Se at (0.0381, 0.1899, 0.3897).

=====

An optimized crystal structure of Np2IrSe. Source: Alexandria, functional PBE.

The value obtained for the density of states at the Fermi level is 47.4 states/eV/cell. The formation energy from raw total energies is -0.60 eV per atom. The value obtained for the total DFT energy (no corrections) is -10.160 eV per atom. The calculation puts the density at 13.0 g cm⁻³.

The space group is R-3m (No. 166, hexagonal axes) and the conventional cell measures 3.9711, 3.9711 and 20.8768 Å, with angles of 90.00, 90.00 and 120.00 degrees. The asymmetric unit holds Np at (0.0000, 0.0000, 0.2424), Ir at (0.0000, 0.0000, 0.5000) and Se at (0.0000, 0.0000, 0.0000).

=====

An optimized crystal structure of Np2Tl3IrSe6. Source: Alexandria, functional PBE.

The value obtained for the density of states at the Fermi level is 44.4 states/eV/cell. The formation energy from raw total energies is -0.63 eV per atom. The value obtained for the total DFT energy (no corrections) is -5.854 eV per atom. The calculation puts the density at 9.0 g cm⁻³.

The space group is C2/m (No. 12) and the conventional cell measures 6.758, 11.899 and 8.395 Å, with angles of 90.00, 106.25 and 90.00 degrees. The asymmetric unit holds Np at (0.000, 0.162, 0.000), Tl at (0.000, 0.000, 0.500), Tl at (0.000, 0.320, 0.500), Ir at (0.000, 0.500, 0.000), Se at (0.215, 0.346, 0.192) and Se at (0.231, 0.500, 0.794).

=====

An optimized crystal structure of Np3Si12Ir5. Source: Alexandria, functional PBE.

The value obtained for the density of states at the Fermi level is 291.5 states/eV/cell. The formation energy from raw total energies is 0.09 eV per atom. The value obtained for the total DFT energy (no corrections) is -7.317 eV per atom. The calculation puts the density at 8.0 g cm⁻³.

The space group is Ia-3d (No. 230) and the conventional cell measures 14.938, 14.938 and 14.938 Å, with angles of 90.00, 90.00 and 90.00 degrees. The asymmetric unit holds Np at (0.000, 0.250, 0.125), Si at (0.060, 0.070, 0.631), Ir at (0.000, 0.000, 0.000) and Ir at (0.000, 0.250, 0.375).